CaHg2Ge: optimized geometry, PBE.

Results
D(E_F) = 1.06 states/eV/f.u.
E = -2.0247 eV per atom

Lattice parameters (Å, degrees): 3.638 3.638 7.314 90.00 90.00 90.00
Sites, in units of the cell vectors:
1 Ca 0.000 0.000 0.000
2 Hg 0.500 0.500 0.268
3 Hg 0.500 0.500 0.732
4 Ge 0.000 0.000 0.500